Th12Tl5Hg3: optimized geometry, PBE.

Lattice parameters (Å, degrees): 15.8110 15.8110 15.8110 109.47 109.47 109.47
With the nearest neighbours (Å) after each atom.
Fractional positions:
Th (0.5663, 0.2275, 0.1437)  2 Tl 3.09-3.11, 2 Hg 3.24-3.32, 1 Th 3.30
Tl (0.1250, 0.7500, 0.3750)  4 Th 3.09
Hg (0.7500, 0.3750, 0.1250)  8 Th 3.24-3.32
Th (0.6437, 0.0663, 0.2275)  2 Tl 3.09-3.11, 2 Hg 3.24-3.32, 1 Th 3.30
Th (0.1437, 0.4161, 0.0774)  2 Tl 3.09-3.11, 2 Hg 3.24-3.32, 1 Th 3.30
Th (0.7275, 0.1437, 0.0663)  2 Tl 3.09-3.11, 2 Hg 3.24-3.32, 1 Th 3.30
Th (0.4226, 0.3563, 0.5839)  2 Tl 3.09-3.11, 2 Hg 3.24-3.32, 1 Th 3.30
Th (0.8388, 0.9226, 0.0663)  2 Tl 3.09-3.11, 2 Hg 3.24-3.32, 1 Th 3.30
Tl (0.0000, 0.0000, 0.5000)  6 Th 3.11
Th (0.0663, 0.6437, 0.7275)  2 Tl 3.09-3.11, 2 Hg 3.24-3.32, 1 Th 3.30
Th (0.9226, 0.8388, 0.5663)  2 Tl 3.09-3.11, 2 Hg 3.24-3.32, 1 Th 3.30
Hg (0.2500, 0.6250, 0.8750)  8 Th 3.24-3.32
Tl (0.3750, 0.2500, 0.1250)  4 Th 3.09
Th (0.3563, 0.4226, 0.0839)  2 Tl 3.09-3.11, 2 Hg 3.24-3.32, 1 Th 3.30
Th (0.5839, 0.7275, 0.6612)  2 Tl 3.09-3.11, 2 Hg 3.24-3.32, 1 Th 3.30
Th (0.5663, 0.3388, 0.9226)  2 Tl 3.09-3.11, 2 Hg 3.24-3.32, 1 Th 3.30
Tl (0.5000, 0.0000, 0.0000)  6 Th 3.11
Tl (0.8750, 0.2500, 0.6250)  4 Th 3.09
Th (0.2725, 0.4161, 0.8388)  2 Tl 3.09-3.11, 2 Hg 3.24-3.32, 1 Th 3.30
Tl (0.6250, 0.8750, 0.2500)  4 Th 3.09
Th (0.0839, 0.1612, 0.2275)  2 Tl 3.09-3.11, 2 Hg 3.24-3.32, 1 Th 3.30
Hg (0.3750, 0.7500, 0.6250)  8 Th 3.24-3.32
Th (0.9161, 0.0774, 0.6437)  2 Tl 3.09-3.11, 2 Hg 3.24-3.32, 1 Th 3.30
Th (0.2275, 0.6612, 0.0839)  2 Tl 3.09-3.11, 2 Hg 3.24-3.32, 1 Th 3.30
Th (0.7275, 0.5839, 0.1612)  2 Tl 3.09-3.11, 2 Hg 3.24-3.32, 1 Th 3.30
Th (0.3388, 0.5663, 0.4226)  2 Tl 3.09-3.11, 2 Hg 3.24-3.32, 1 Th 3.30
Th (0.7725, 0.3388, 0.9161)  2 Tl 3.09-3.11, 2 Hg 3.24-3.32, 1 Th 3.30
Tl (0.5000, 0.0000, 0.5000)  6 Th 3.11
Tl (0.2500, 0.8750, 0.1250)  4 Th 3.09
Th (0.0774, 0.9161, 0.1437)  2 Tl 3.09-3.11, 2 Hg 3.24-3.32, 1 Th 3.30
Hg (0.2500, 0.1250, 0.3750)  8 Th 3.24-3.32
Th (0.6437, 0.5774, 0.9161)  2 Tl 3.09-3.11, 2 Hg 3.24-3.32, 1 Th 3.30
Th (0.9161, 0.8388, 0.7725)  2 Tl 3.09-3.11, 2 Hg 3.24-3.32, 1 Th 3.30
Th (0.1437, 0.7275, 0.5663)  2 Tl 3.09-3.11, 2 Hg 3.24-3.32, 1 Th 3.30
Tl (0.1250, 0.3750, 0.2500)  4 Th 3.09
Th (0.6612, 0.2275, 0.5839)  2 Tl 3.09-3.11, 2 Hg 3.24-3.32, 1 Th 3.30
Th (0.5839, 0.8563, 0.4226)  2 Tl 3.09-3.11, 2 Hg 3.24-3.32, 1 Th 3.30
Hg (0.1250, 0.8750, 0.7500)  8 Th 3.24-3.32
Th (0.0774, 0.1612, 0.4337)  2 Tl 3.09-3.11, 2 Hg 3.24-3.32, 1 Th 3.30
Hg (0.6250, 0.3750, 0.7500)  8 Th 3.24-3.32
Hg (0.1250, 0.2500, 0.8750)  8 Th 3.24-3.32
Hg (0.7500, 0.8750, 0.6250)  8 Th 3.24-3.32
Tl (0.7500, 0.1250, 0.8750)  4 Th 3.09
Th (0.8388, 0.9161, 0.2725)  2 Tl 3.09-3.11, 2 Hg 3.24-3.32, 1 Th 3.30
Hg (0.8750, 0.7500, 0.1250)  8 Th 3.24-3.32
Th (0.3563, 0.9337, 0.7725)  2 Tl 3.09-3.11, 2 Hg 3.24-3.32, 1 Th 3.30
Th (0.4337, 0.7725, 0.8563)  2 Tl 3.09-3.11, 2 Hg 3.24-3.32, 1 Th 3.30
Th (0.9226, 0.0839, 0.8563)  2 Tl 3.09-3.11, 2 Hg 3.24-3.32, 1 Th 3.30
Th (0.3388, 0.7725, 0.4161)  2 Tl 3.09-3.11, 2 Hg 3.24-3.32, 1 Th 3.30
Th (0.0663, 0.4226, 0.8388)  2 Tl 3.09-3.11, 2 Hg 3.24-3.32, 1 Th 3.30
Th (0.5774, 0.9337, 0.6612)  2 Tl 3.09-3.11, 2 Hg 3.24-3.32, 1 Th 3.30
Tl (0.0000, 0.5000, 0.5000)  6 Th 3.11
Hg (0.8750, 0.1250, 0.2500)  8 Th 3.24-3.32
Th (0.8563, 0.2725, 0.4337)  2 Tl 3.09-3.11, 2 Hg 3.24-3.32, 1 Th 3.30
Th (0.4337, 0.6612, 0.0774)  2 Tl 3.09-3.11, 2 Hg 3.24-3.32, 1 Th 3.30
Th (0.2725, 0.8563, 0.9337)  2 Tl 3.09-3.11, 2 Hg 3.24-3.32, 1 Th 3.30
Th (0.4161, 0.2725, 0.3388)  2 Tl 3.09-3.11, 2 Hg 3.24-3.32, 1 Th 3.30
Tl (0.3750, 0.1250, 0.7500)  4 Th 3.09
Th (0.4226, 0.0663, 0.3388)  2 Tl 3.09-3.11, 2 Hg 3.24-3.32, 1 Th 3.30
Th (0.0839, 0.9226, 0.3563)  2 Tl 3.09-3.11, 2 Hg 3.24-3.32, 1 Th 3.30
Tl (0.6250, 0.7500, 0.8750)  4 Th 3.09
Th (0.5774, 0.6437, 0.4161)  2 Tl 3.09-3.11, 2 Hg 3.24-3.32, 1 Th 3.30
Th (0.9337, 0.3563, 0.2725)  2 Tl 3.09-3.11, 2 Hg 3.24-3.32, 1 Th 3.30
Hg (0.3750, 0.6250, 0.2500)  8 Th 3.24-3.32
Tl (0.0000, 0.0000, 0.0000)  6 Th 3.11
Tl (0.5000, 0.5000, 0.5000)  6 Th 3.11
Tl (0.5000, 0.5000, 0.0000)  6 Th 3.11
Th (0.1612, 0.0774, 0.9337)  2 Tl 3.09-3.11, 2 Hg 3.24-3.32, 1 Th 3.30
Th (0.8563, 0.5839, 0.9226)  2 Tl 3.09-3.11, 2 Hg 3.24-3.32, 1 Th 3.30
Th (0.1612, 0.0839, 0.7275)  2 Tl 3.09-3.11, 2 Hg 3.24-3.32, 1 Th 3.30
Tl (0.7500, 0.6250, 0.3750)  4 Th 3.09
Th (0.9337, 0.5774, 0.1612)  2 Tl 3.09-3.11, 2 Hg 3.24-3.32, 1 Th 3.30
Th (0.6612, 0.4337, 0.5774)  2 Tl 3.09-3.11, 2 Hg 3.24-3.32, 1 Th 3.30
Hg (0.6250, 0.2500, 0.3750)  8 Th 3.24-3.32
Tl (0.0000, 0.5000, 0.0000)  6 Th 3.11
Th (0.2275, 0.5663, 0.6437)  2 Tl 3.09-3.11, 2 Hg 3.24-3.32, 1 Th 3.30
Th (0.7725, 0.4337, 0.3563)  2 Tl 3.09-3.11, 2 Hg 3.24-3.32, 1 Th 3.30
Tl (0.2500, 0.3750, 0.6250)  4 Th 3.09
Tl (0.8750, 0.6250, 0.7500)  4 Th 3.09
Th (0.4161, 0.1437, 0.5774)  2 Tl 3.09-3.11, 2 Hg 3.24-3.32, 1 Th 3.30

Fermi-level density of states (states/eV per cell): 109.06
Calculated formation energy (eV per atom): 0.541
DFT total energy (eV/cell): -363.828